Density functional theory data (PBE-GGA) for a relaxed HoInCuPt crystal.

As for the density of states at the Fermi level: 8.36 states/eV per cell. The energy of formation comes out at -0.65 eV/atom.

```
data_HoInCuPt
_chemical_formula_sum 'Ho4 In4 Cu4 Pt4'
_symmetry_space_group_name_H-M 'F -4 3 m'
_symmetry_Int_Tables_number 216
_symmetry_space_group_name_Hall 'F -4 2 3'
_cell_length_a 6.732
_cell_length_b 6.732
_cell_length_c 6.732
_cell_angle_alpha 90.00
_cell_angle_beta 90.00
_cell_angle_gamma 90.00
loop_
_atom_site_label
_atom_site_fract_x
_atom_site_fract_y
_atom_site_fract_z
Ho1 0.000 0.000 0.000
In1 0.000 0.000 0.500
Cu1 0.250 0.250 0.750
Pt1 0.250 0.250 0.250
```